Dy3SeS2, relaxed, DFT GGA-PBE; E_tot = -37.01 eV per cell; symmetry = No. 164
1.0
-2.493 2.784 1.292
-0.794 -1.971 -3.334
-4.826 -6.694 5.108
Dy S Se
3 2 1
direct
0.333 0.667 0.183
0.000 0.000 0.500
0.667 0.333 0.817
0.667 0.333 0.339
0.333 0.667 0.661
0.000 0.000 0.000

***

BaLaHf, relaxed, DFT GGA-PBE; E_tot = -12.88 eV per cell; symmetry = No. 216
1.0
3.353 -2.346 3.507
-1.855 -1.734 4.754
-0.388 -5.286 0.976
Hf Ba La
1 1 1
direct
0.250 0.250 0.250
0.000 0.000 0.000
0.750 0.750 0.750

***

Er2LuGa3CuGe2, relaxed, DFT GGA-PBE; E_tot = -41.34 eV per cell; symmetry = No. 38
1.0
4.107 0.000 0.000
0.000 6.031 3.497
0.000 -6.031 3.497
Ga Ge Er Lu Cu
3 2 2 1 1
direct
0.500 0.765 0.765
0.500 0.000 0.236
0.500 0.236 0.000
0.500 0.664 0.334
0.500 0.334 0.664
0.000 0.598 0.999
0.000 0.999 0.598
0.000 0.401 0.401
0.000 0.004 0.004

***

Nb2CoGe2Ir, relaxed, DFT GGA-PBE; E_tot = -194.30 eV per cell; symmetry = No. 6
1.0
7.209 0.000 0.000
0.000 4.147 0.000
-2.337 0.000 13.579
Nb Ge Co Ir
8 8 4 4
direct
0.177 0.500 0.058
0.941 0.500 0.322
0.685 0.500 0.558
0.424 0.500 0.805
0.188 0.000 0.563
0.441 0.000 0.322
0.949 0.000 0.814
0.698 0.000 0.061
0.817 0.000 0.446
0.562 0.500 0.186
0.062 0.000 0.182
0.552 0.000 0.683
0.820 0.500 0.937
0.067 0.500 0.684
0.314 0.500 0.446
0.304 0.000 0.932
0.247 0.000 0.746
0.002 0.500 0.503
0.499 0.000 0.502
0.001 0.000 0.998
0.498 0.500 0.996
0.250 0.500 0.252
0.750 0.500 0.748
0.753 0.000 0.254

***

- E_tot of number 2 (BaLaHf)?
  -12.88 eV per cell